DFT (GGA-PBE) results for RbLi4Te2 after structural relaxation.

The formation energy without anion corrections is -792 meV/atom.

It has space group P4_2/mnm (No. 136), with a = 9.078 Å, b = 9.078 Å, c = 4.468 Å, α = 90.00°, β = 90.00° and γ = 90.00°. The inequivalent atoms are Rb at (0.000, 0.000, 0.000), Li at (0.086, 0.339, 0.500) and Te at (0.224, 0.776, 0.500).